DFT (PBE) results for AgSb2Pd7 after structural relaxation.

Total energy = -100.22 eV per cell
Formation energy without anion corrections = -267 meV/atom
Energy relative to the lowest polymorph listed for this composition = 0.00 eV per formula unit

Lattice parameters (Å, degrees): 4.065 4.065 22.030 90.00 90.00 90.00
Space group I4/mmm (No. 139)
Asymmetric unit:
Ag 0.000 0.000 0.000 (multiplicity 2)
Sb 0.000 0.000 0.332 (multiplicity 4)
Pd 0.000 0.000 0.500 (multiplicity 2)
Pd 0.000 0.500 0.091 (multiplicity 8)
Pd 0.000 0.500 0.250 (multiplicity 4)